1.
The following is a DFT calculation (PBE) of crystalline LiZn8Ni2 at its relaxed geometry.

The value obtained for the energy is -2.246 eV per atom.

a = 4.109 Å, b = 6.260 Å, c = 6.260 Å
α = 104.45°, β = 90.03°, γ = 90.03°
Fractional coordinates of all 11 atoms:
Zn (0.001, 0.037, 0.305)
Zn (0.501, 0.334, 0.334)
Zn (0.499, 0.666, 0.666)
Zn (0.999, 0.695, 0.963)
Zn (0.500, 0.252, 0.748)
Zn (0.999, 0.963, 0.695)
Zn (0.500, 0.748, 0.252)
Zn (0.001, 0.305, 0.037)
Ni (0.000, 0.377, 0.623)
Ni (0.000, 0.623, 0.377)
Li (0.500, 0.000, 0.000)



2.
The following is a DFT calculation (PBE) of crystalline LiZnNi6 at its relaxed geometry.

The distance to the lowest polymorph of the same formula is 549 meV per atom. The value obtained for the energy is -4.252 eV per atom.

a = 4.742 Å, b = 4.742 Å, c = 6.926 Å
α = 69.98°, β = 69.98°, γ = 60.00°
Site moments in Bohr magnetons follow the coordinates.
Fractional coordinates of all 8 atoms:
Ni (0.443, 0.939, 0.680)  0.58
Ni (0.061, 0.061, 0.320)  0.58
Ni (0.557, 0.061, 0.320)  0.58
Ni (0.939, 0.443, 0.680)  0.58
Ni (0.939, 0.939, 0.680)  0.58
Ni (0.061, 0.557, 0.320)  0.58
Li (0.500, 0.500, 0.500)  -0.02
Zn (0.000, 0.000, 0.000)  0.00



3.
The following is a DFT calculation (PBE) of crystalline Li2Zn3Ni3 at its relaxed geometry.

The value obtained for the energy is -3.306 eV per atom.

a = 2.812 Å, b = 4.142 Å, c = 8.881 Å
α = 103.48°, β = 99.11°, γ = 90.00°
Fractional coordinates of all 8 atoms:
Ni (0.878, 0.878, 0.757)
Ni (0.122, 0.122, 0.243)
Ni (0.000, 0.500, 0.000)
Zn (0.623, 0.623, 0.246)
Zn (0.377, 0.377, 0.754)
Zn (0.500, 0.000, 0.000)
Li (0.253, 0.753, 0.506)
Li (0.747, 0.247, 0.494)



4.
The following is a DFT calculation (PBE) of crystalline Li2Zn4Ni at its relaxed geometry.

The value obtained for the energy is -2.001 eV per atom.

a = 4.237 Å, b = 4.593 Å, c = 7.016 Å
α = 109.10°, β = 90.00°, γ = 90.00°
Fractional coordinates of all 7 atoms:
Zn (0.500, 0.408, 0.816)
Zn (0.000, 0.691, 0.383)
Zn (0.500, 0.592, 0.184)
Zn (0.000, 0.309, 0.617)
Ni (0.000, 0.500, 0.000)
Li (0.500, 0.821, 0.642)
Li (0.500, 0.179, 0.358)